Material: MnTcPt
Method: DFT, GGA-PBE
State: optimized geometry

Summary:
The calculation puts the density at 13.958 g cm⁻³. Its formation enthalpy at 0 K is 0.010 eV/atom. Its space-group type is P3m1 (156).

Cell and atoms, written as POSCAR:
```
MnTcPt
1.0
2.703 0.000 0.000
-1.351 2.341 0.000
0.000 0.000 6.544
Mn Tc Pt
1 1 1
Direct
0.000 0.000 0.000 Mn
0.333 0.667 0.699 Tc
0.667 0.333 0.334 Pt
```

Material: MnTcPt2
Method: DFT, GGA-PBE
State: optimized geometry

Summary:
The calculation puts the density at 15.304 g cm⁻³. Its formation enthalpy at 0 K is -0.177 eV/atom. Its space-group type is P4/mmm (123).

Cell and atoms, written as POSCAR:
```
MnTcPt2
1.0
3.871 0.000 0.000
0.000 3.871 0.000
0.000 0.000 3.932
Mn Tc Pt
1 1 2
Direct
0.000 0.000 0.000 Mn
0.500 0.500 0.000 Tc
0.000 0.500 0.500 Pt
0.500 0.000 0.500 Pt
```

Material: Mn2TcPt
Method: DFT, GGA-PBE
State: optimized geometry

Summary:
The calculation puts the density at 11.737 g cm⁻³. Its formation enthalpy at 0 K is 0.161 eV/atom. Its space-group type is F-43m (216).

Cell and atoms, written as POSCAR:
```
Mn2TcPt
1.0
6.110 0.000 0.000
0.000 6.110 0.000
0.000 0.000 6.110
Mn Tc Pt
8 4 4
Direct
0.000 0.000 0.000 Mn
0.000 0.500 0.500 Mn
0.250 0.250 0.250 Mn
0.250 0.750 0.750 Mn
0.500 0.000 0.500 Mn
0.500 0.500 0.000 Mn
0.750 0.250 0.750 Mn
0.750 0.750 0.250 Mn
0.250 0.250 0.750 Tc
0.250 0.750 0.250 Tc
0.750 0.250 0.250 Tc
0.750 0.750 0.750 Tc
0.000 0.000 0.500 Pt
0.000 0.500 0.000 Pt
0.500 0.000 0.000 Pt
0.500 0.500 0.500 Pt
```

Material: MnTc2Pt
Method: DFT, GGA-PBE
State: optimized geometry

Summary:
The calculation puts the density at 13.404 g cm⁻³. Its formation enthalpy at 0 K is -0.063 eV/atom. Its space-group type is P4/mmm (123).

Cell and atoms, written as POSCAR:
```
MnTc2Pt
1.0
2.691 0.000 0.000
0.000 2.691 0.000
0.000 0.000 7.631
Mn Tc Pt
1 2 1
Direct
0.000 0.000 0.000 Mn
0.500 0.500 0.227 Tc
0.500 0.500 0.773 Tc
0.000 0.000 0.500 Pt
```

Material: Mn2TcPt
Method: DFT, GGA-PBE
State: optimized geometry

Summary:
The calculation puts the density at 12.684 g cm⁻³. Its formation enthalpy at 0 K is -0.070 eV/atom. Its space-group type is P4/mmm (123).

Cell and atoms, written as POSCAR:
```
Mn2TcPt
1.0
3.812 0.000 0.000
0.000 3.812 0.000
0.000 0.000 3.631
Mn Tc Pt
2 1 1
Direct
0.000 0.500 0.000 Mn
0.500 0.000 0.000 Mn
0.000 0.000 0.500 Tc
0.500 0.500 0.500 Pt
```

Material: MnTcPt
Method: DFT, GGA-PBE
State: optimized geometry

Summary:
The calculation puts the density at 13.461 g cm⁻³. Its formation enthalpy at 0 K is -0.045 eV/atom. Its space-group type is P-6m2 (187).

Cell and atoms, written as POSCAR:
```
MnTcPt
1.0
4.332 0.000 0.000
-2.166 3.752 0.000
0.000 0.000 2.642
Mn Tc Pt
1 1 1
Direct
0.000 0.000 0.000 Mn
0.667 0.333 0.500 Tc
0.333 0.667 0.000 Pt
```

Material: MnTc2Pt
Method: DFT, GGA-PBE
State: optimized geometry

Summary:
The calculation puts the density at 13.209 g cm⁻³. Its formation enthalpy at 0 K is 0.029 eV/atom. Its space-group type is R-3m (166).

Cell and atoms, written as POSCAR:
```
MnTc2Pt
1.0
2.711 0.000 0.000
-1.356 2.348 0.000
0.000 0.000 26.423
Mn Tc Pt
3 6 3
Direct
0.000 0.000 0.000 Mn
0.333 0.667 0.667 Mn
0.667 0.333 0.333 Mn
0.000 0.000 0.256 Tc
0.000 0.000 0.744 Tc
0.333 0.667 0.411 Tc
0.333 0.667 0.923 Tc
0.667 0.333 0.077 Tc
0.667 0.333 0.589 Tc
0.000 0.000 0.500 Pt
0.333 0.667 0.167 Pt
0.667 0.333 0.833 Pt
```

Material: Mn2TcPt
Method: DFT, GGA-PBE
State: optimized geometry

Summary:
The calculation puts the density at 11.785 g cm⁻³. Its formation enthalpy at 0 K is -0.015 eV/atom. Its space-group type is C2/m (12).

Cell and atoms, written as POSCAR:
```
Mn2TcPt
1.0
8.645 0.000 0.000
0.000 2.735 0.000
-0.811 0.000 4.803
Mn Tc Pt
4 2 2
Direct
0.250 0.000 0.240 Mn
0.250 0.500 0.760 Mn
0.750 0.000 0.760 Mn
0.750 0.500 0.240 Mn
0.000 0.500 0.000 Tc
0.500 0.000 0.000 Tc
0.000 0.000 0.500 Pt
0.500 0.500 0.500 Pt
```

Material: MnTcPt3
Method: DFT, GGA-PBE
State: optimized geometry

Summary:
The calculation puts the density at 11.118 g cm⁻³. Its formation enthalpy at 0 K is 1.166 eV/atom. Its space-group type is Pm-3m (221).

Cell and atoms, written as POSCAR:
```
MnTcPt3
1.0
4.795 0.000 0.000
0.000 4.795 0.000
0.000 0.000 4.795
Mn Tc Pt
1 1 3
Direct
0.000 0.000 0.000 Mn
0.500 0.500 0.500 Tc
0.000 0.500 0.500 Pt
0.500 0.000 0.500 Pt
0.500 0.500 0.000 Pt
```

Material: Mn3TcPt12
Method: DFT, GGA-PBE
State: optimized geometry

Summary:
The calculation puts the density at 17.720 g cm⁻³. Its formation enthalpy at 0 K is -0.283 eV/atom. Its space-group type is P4/mmm (123).

Cell and atoms, written as POSCAR:
```
Mn3TcPt12
1.0
3.934 0.000 0.000
0.000 3.934 0.000
0.000 0.000 15.766
Mn Tc Pt
3 1 12
Direct
0.000 0.000 0.000 Mn
0.000 0.000 0.247 Mn
0.000 0.000 0.753 Mn
0.000 0.000 0.500 Tc
0.000 0.500 0.125 Pt
0.000 0.500 0.376 Pt
0.000 0.500 0.624 Pt
0.000 0.500 0.875 Pt
0.500 0.000 0.125 Pt
0.500 0.000 0.376 Pt
0.500 0.000 0.624 Pt
0.500 0.000 0.875 Pt
0.500 0.500 0.000 Pt
0.500 0.500 0.250 Pt
0.500 0.500 0.500 Pt
0.500 0.500 0.750 Pt
```

Material: Mn3TcPt
Method: DFT, GGA-PBE
State: optimized geometry

Summary:
The calculation puts the density at 8.407 g cm⁻³. Its formation enthalpy at 0 K is 1.202 eV/atom. Its space-group type is Pm-3m (221).

Cell and atoms, written as POSCAR:
```
Mn3TcPt
1.0
4.489 0.000 0.000
0.000 4.489 0.000
0.000 0.000 4.489
Mn Tc Pt
3 1 1
Direct
0.000 0.000 0.500 Mn
0.000 0.500 0.000 Mn
0.500 0.000 0.000 Mn
0.000 0.000 0.000 Tc
0.500 0.500 0.500 Pt
```

Material: Mn2TcPt4
Method: DFT, GGA-PBE
State: optimized geometry

Summary:
The calculation puts the density at 11.302 g cm⁻³. Its formation enthalpy at 0 K is 0.931 eV/atom. Its space-group type is I4/mmm (139).

Cell and atoms, written as POSCAR:
```
Mn2TcPt4
1.0
4.781 0.000 0.000
0.000 4.781 0.000
0.000 0.000 12.703
Mn Tc Pt
4 2 8
Direct
0.000 0.000 0.110 Mn
0.000 0.000 0.890 Mn
0.500 0.500 0.390 Mn
0.500 0.500 0.610 Mn
0.000 0.000 0.500 Tc
0.500 0.500 0.000 Tc
0.000 0.000 0.302 Pt
0.000 0.000 0.698 Pt
0.000 0.500 0.000 Pt
0.000 0.500 0.500 Pt
0.500 0.000 0.000 Pt
0.500 0.000 0.500 Pt
0.500 0.500 0.198 Pt
0.500 0.500 0.802 Pt
```